No. 1
Below is a geometry-optimized CrHg2I structure, with properties calculated at the GGA-PBE level.

Cell and atoms, written as extended XYZ:
```
8
Lattice="-0.222 6.303 -7.068 -0.861 -7.054 -6.264 -3.339 -0.228 -6.447" Properties=species:S:1:pos:R:3 pbc="T T T"
Cr -2.371 -3.829 -9.688
Cr -0.542 -0.375 -6.666
I 0.000 0.000 0.000
I -2.051 2.850 -10.090
Hg -1.418 -3.192 -6.955
Hg -3.386 -0.285 -16.018
Hg -1.064 2.515 -6.267
Hg -2.977 -0.997 -10.317
```

* uncorrected formation energy: 0.22 eV/atom
* magnetic moment: 4.97 μB per formula unit
* distance to the lowest polymorph of the same formula: 94 meV per atom
* space-group type: I-42d
* D(E_F): 0.261 states/eV per atom
* total energy: -0.2006 Ry per atom

***

No. 2
Below is a geometry-optimized Mg2TlTe structure, with properties calculated at the GGA-PBE level.

Cell and atoms, written as extended XYZ:
```
4
Lattice="-1.733 -3.818 3.459 -2.331 -4.529 -1.897 2.619 -4.751 0.338" Properties=species:S:1:pos:R:3 pbc="T T T"
Te -0.722 -6.549 0.950
Mg 0.000 0.000 0.000
Mg -0.361 -3.275 0.475
Tl -1.084 -9.824 1.426
```

* uncorrected formation energy: 0.00 eV/atom
* magnetic moment: 0.00 μB per formula unit
* distance to the lowest polymorph of the same formula: 282 meV per atom
* space-group type: F-43m
* D(E_F): 0.464 states/eV per atom
* total energy: -0.1599 Ry per atom

***

No. 3
Below is a geometry-optimized LiGe structure, with properties calculated at the GGA-PBE level.

Cell and atoms, written as extended XYZ:
```
4
Lattice="-1.011 4.340 0.612 -0.631 -1.911 -4.023 -4.541 -1.241 1.302" Properties=species:S:1:pos:R:3 pbc="T T T"
Ge -4.164 -0.758 -1.502
Ge -2.020 1.946 -0.608
Li -4.290 1.325 0.043
Li -1.893 -0.137 -2.153
```

* magnetic moment: 0.00 μB per formula unit
* space-group type: P6_3/mmc
* D(E_F): 0.555 states/eV per atom
* total energy: -0.2158 Ry per atom

***

No. 4
Below is a geometry-optimized TbUTe6 structure, with properties calculated at the GGA-PBE level.

Cell and atoms, written as extended XYZ:
```
8
Lattice="13.455 -0.100 0.000 -12.711 4.412 0.000 0.000 0.000 4.376" Properties=species:S:1:pos:R:3 pbc="T T T"
Te -10.641 4.055 0.000
Te 5.823 1.216 0.000
Te 11.328 0.266 2.188
Te 2.444 1.799 2.188
Te -5.009 3.084 2.188
Te -1.754 2.523 0.000
Tb -8.213 3.636 2.188
U 8.997 0.668 0.000
```

* uncorrected formation energy: -0.73 eV/atom
* magnetic moment: 2.19 μB per formula unit
* space-group type: Amm2
* D(E_F): 1.216 states/eV per atom
* total energy: -0.3733 Ry per atom